VASP calculation (PBEsol) on a relaxed BaLi2Mg crystal.

Structure (extended XYZ):
```
8
Lattice="6.9342 0.0000 0.0000 0.0000 10.9403 0.0000 -1.5047 0.0000 3.2294" Properties=species:S:1:pos:R:3 pbc="T T T"
Ba 0.0000 0.0000 0.0000
Ba 3.4671 5.4701 0.0000
Li 0.9812 2.7351 1.6147
Li 0.9812 8.2052 1.6147
Li 4.4483 2.7351 1.6147
Li 4.4483 8.2052 1.6147
Mg 0.0000 5.4701 0.0000
Mg 3.4671 0.0000 0.0000
```

Its energy is -0.1318 Ry per atom. Its space-group type is C2/m, No. 12.


VASP calculation (PBEsol) on a relaxed Os2AuSe crystal.

Structure (extended XYZ):
```
8
Lattice="2.7985 0.0000 0.0000 0.0000 4.6270 0.0000 0.0000 0.0000 9.8922" Properties=species:S:1:pos:R:3 pbc="T T T"
Os 0.0000 0.0000 0.0000
Os 0.0000 2.3135 2.8254
Os 1.3993 0.0000 7.7715
Os 1.3993 2.3135 4.9461
Au 0.0000 0.0000 5.1479
Au 1.3993 2.3135 0.2018
Se 0.0000 2.3135 7.2284
Se 1.3993 0.0000 2.2823
```

Its energy is -0.5369 Ry per atom. Its space-group type is Imm2, No. 44. Its uncorrected formation energy is 747 meV/atom.


VASP calculation (PBEsol) on a relaxed MgSiO3 crystal.

Structure (extended XYZ):
```
20
Lattice="4.7004 -4.4180 0.0000 4.7004 4.4180 0.0000 -1.0549 0.0000 4.8924" Properties=species:S:1:pos:R:3 pbc="T T T"
Mg 3.9092 3.5759 3.6693
Mg 4.4367 2.0064 1.2231
Mg 3.9092 -2.0064 3.6693
Mg 4.4367 -3.5759 1.2231
Si 2.0513 0.8032 3.4920
Si 2.5788 -0.8032 1.0458
Si 5.7671 0.8032 3.8465
Si 6.2945 -0.8032 1.4003
O 0.4629 0.8096 3.1339
O 2.6470 2.0779 4.2483
O 0.9904 -0.8096 0.6877
O 2.8844 0.5203 2.0517
O 5.1714 2.0779 3.0903
O 2.3570 -0.5203 4.4978
O 5.9889 0.5203 0.3945
O 3.1744 -2.0779 1.8021
O 5.4614 -0.5203 2.8407
O 7.3555 0.8096 4.2046
O 5.6989 -2.0779 0.6441
O 7.8829 -0.8096 1.7584
```

Its energy is -0.5497 Ry per atom. Its space-group type is C2/c, No. 15. Its uncorrected formation energy is -2837 meV/atom.


VASP calculation (PBEsol) on a relaxed LaBeRe2 crystal.

Structure (extended XYZ):
```
8
Lattice="2.6433 0.0000 0.0000 0.0000 4.8484 0.0000 0.0000 0.0000 10.1049" Properties=species:S:1:pos:R:3 pbc="T T T"
La 0.0000 0.0000 0.0000
La 1.3217 2.4242 5.0524
Be 0.0000 0.0000 5.0524
Be 1.3217 2.4242 0.0000
Re 0.0000 2.4242 2.1008
Re 0.0000 2.4242 8.0041
Re 1.3217 0.0000 2.9517
Re 1.3217 0.0000 7.1532
```

Its energy is -0.6226 Ry per atom. Its space-group type is Immm, No. 71.


VASP calculation (PBEsol) on a relaxed SnS crystal.

Structure (extended XYZ):
```
8
Lattice="6.4033 0.0000 0.0000 0.0000 6.4033 0.0000 0.0000 0.0000 6.4033" Properties=species:S:1:pos:R:3 pbc="T T T"
Sn 0.0000 0.0000 0.0000
Sn 0.0000 3.2016 3.2016
Sn 3.2016 0.0000 3.2016
Sn 3.2016 3.2016 0.0000
S 1.6008 1.6008 1.6008
S 1.6008 4.8024 4.8024
S 4.8024 1.6008 4.8024
S 4.8024 4.8024 1.6008
```

Its energy is -0.3251 Ry per atom. Its space-group type is F-43m, No. 216. Its uncorrected formation energy is -102 meV/atom.


VASP calculation (PBEsol) on a relaxed La2AlSi crystal.

Structure (extended XYZ):
```
8
Lattice="4.0809 0.0000 0.0000 0.0000 4.4913 0.0000 0.0000 0.0000 11.4771" Properties=species:S:1:pos:R:3 pbc="T T T"
La 0.0000 0.0000 0.0000
La 0.0000 2.2457 5.7386
La 2.0405 0.0000 3.3140
La 2.0405 2.2457 9.0525
Al 2.0405 0.0000 6.6774
Al 2.0405 2.2457 0.9388
Si 0.0000 0.0000 8.1998
Si 0.0000 2.2457 2.4613
```

Its energy is -0.4203 Ry per atom. Its space-group type is Amm2, No. 38. Its uncorrected formation energy is -585 meV/atom.


VASP calculation (PBEsol) on a relaxed AlIF2 crystal.

Structure (extended XYZ):
```
8
Lattice="0.0000 4.0941 4.0941 4.0941 0.0000 4.0941 4.0941 4.0941 0.0000" Properties=species:S:1:pos:R:3 pbc="T T T"
Al 1.0235 1.0235 1.0235
Al 7.1646 7.1646 7.1646
I 3.0705 3.0705 3.0705
I 5.1176 5.1176 5.1176
F 0.0000 0.0000 0.0000
F 2.0470 2.0470 0.0000
F 2.0470 0.0000 2.0470
F 0.0000 2.0470 2.0470
```

Its energy is -0.3363 Ry per atom. Its space-group type is Fd-3m, No. 227. Its uncorrected formation energy is -2148 meV/atom.


VASP calculation (PBEsol) on a relaxed Be2Nb2Co crystal.

Structure (extended XYZ):
```
10
Lattice="5.9576 0.0000 0.0000 0.0000 5.9576 0.0000 0.0000 0.0000 3.4525" Properties=species:S:1:pos:R:3 pbc="T T T"
Be 0.7531 2.2257 0.0000
Be 2.2257 5.2045 0.0000
Be 3.7319 0.7531 0.0000
Be 5.2045 3.7319 0.0000
Nb 1.0417 4.0205 1.7263
Nb 1.9371 1.0417 1.7263
Nb 4.0205 4.9158 1.7263
Nb 4.9158 1.9371 1.7263
Co 0.0000 0.0000 0.0000
Co 2.9788 2.9788 0.0000
```

Its energy is -0.5613 Ry per atom. Its space-group type is P4/mbm, No. 127.


VASP calculation (PBEsol) on a relaxed LiTlS3 crystal.

Structure (extended XYZ):
```
5
Lattice="5.0965 0.0000 0.0000 0.0000 5.0965 0.0000 0.0000 0.0000 5.0965" Properties=species:S:1:pos:R:3 pbc="T T T"
Li 0.0000 0.0000 0.0000
Tl 2.5483 2.5483 2.5483
S 0.0000 2.5483 2.5483
S 2.5483 0.0000 2.5483
S 2.5483 2.5483 0.0000
```

Its energy is -0.2358 Ry per atom. Its space-group type is Pm-3m, No. 221. Its uncorrected formation energy is 342 meV/atom.


VASP calculation (PBEsol) on a relaxed Hf2PtC2 crystal.

Structure (extended XYZ):
```
10
Lattice="4.3205 0.0000 0.0000 0.0000 4.3205 0.0000 0.0000 0.0000 7.2198" Properties=species:S:1:pos:R:3 pbc="T T T"
Hf 0.0000 2.1602 1.8049
Hf 0.0000 2.1602 5.4148
Hf 2.1602 0.0000 1.8049
Hf 2.1602 0.0000 5.4148
Pt 0.0000 0.0000 0.0000
Pt 2.1602 2.1602 3.6099
C 0.0000 0.0000 2.8707
C 0.0000 0.0000 4.3490
C 2.1602 2.1602 0.7391
C 2.1602 2.1602 6.4806
```

Its energy is -0.6916 Ry per atom. Its space-group type is I4/mmm, No. 139.


VASP calculation (PBEsol) on a relaxed MnCuP crystal.

Structure (extended XYZ):
```
12
Lattice="5.2565 0.0000 0.0000 0.0000 5.2565 0.0000 0.0000 0.0000 5.2565" Properties=species:S:1:pos:R:3 pbc="T T T"
Mn 0.0000 0.0000 0.0000
Mn 0.0000 2.6283 2.6283
Mn 2.6283 0.0000 2.6283
Mn 2.6283 2.6283 0.0000
Cu 0.0000 0.0000 2.6283
Cu 0.0000 2.6283 0.0000
Cu 2.6283 0.0000 0.0000
Cu 2.6283 2.6283 2.6283
P 1.3141 1.3141 3.9424
P 1.3141 3.9424 1.3141
P 3.9424 1.3141 1.3141
P 3.9424 3.9424 3.9424
```

Its energy is -0.4989 Ry per atom. As for the polymorph energy (0 for the lowest one): 0 meV per atom. Its space-group type is F-43m, No. 216.


VASP calculation (PBEsol) on a relaxed CdTeMo2 crystal.

Structure (extended XYZ):
```
4
Lattice="3.1139 0.0000 0.0000 0.0000 4.6329 0.0000 -1.2108 0.0000 5.2042" Properties=species:S:1:pos:R:3 pbc="T T T"
Cd 0.0000 0.0000 0.0000
Te 0.4959 2.3164 3.8085
Mo 0.9812 0.0000 2.4861
Mo 2.0570 2.3164 1.5788
```

Its energy is -0.4785 Ry per atom. As for the polymorph energy (0 for the lowest one): 157 meV per atom. Its space-group type is Pm, No. 6. Its uncorrected formation energy is 555 meV/atom.


VASP calculation (PBEsol) on a relaxed P2C crystal.

Structure (extended XYZ):
```
3
Lattice="3.0649 0.0000 0.0000 -1.5324 2.6542 0.0000 0.0000 0.0000 3.9234" Properties=species:S:1:pos:R:3 pbc="T T T"
P 0.0000 1.7695 1.2102
P 1.5324 0.8847 2.7132
C 0.0000 0.0000 0.0000
```

Its energy is -0.4506 Ry per atom. As for the polymorph energy (0 for the lowest one): 324 meV per atom. Its space-group type is P-3m1, No. 164.


VASP calculation (PBEsol) on a relaxed LiAg3S crystal.

Structure (extended XYZ):
```
5
Lattice="4.4240 0.0000 0.0000 0.0000 4.4240 0.0000 0.0000 0.0000 4.4240" Properties=species:S:1:pos:R:3 pbc="T T T"
Li 0.0000 0.0000 0.0000
Ag 0.0000 0.0000 2.2120
Ag 0.0000 2.2120 0.0000
Ag 2.2120 0.0000 0.0000
S 2.2120 2.2120 2.2120
```

Its energy is -0.1976 Ry per atom. Its space-group type is Pm-3m, No. 221. Its uncorrected formation energy is 569 meV/atom.


VASP calculation (PBEsol) on a relaxed LiCrHg2 crystal.

Structure (extended XYZ):
```
8
Lattice="3.9354 0.0000 0.0000 0.0000 4.1364 0.0000 0.0000 0.0000 8.7696" Properties=species:S:1:pos:R:3 pbc="T T T"
Li 0.0000 0.0000 0.0000
Li 1.9677 2.0682 4.3848
Cr 0.0000 2.0682 6.5869
Cr 1.9677 0.0000 2.2021
Hg 0.0000 0.0000 4.3951
Hg 0.0000 2.0682 2.2215
Hg 1.9677 0.0000 6.6063
Hg 1.9677 2.0682 0.0104
```

Its energy is -0.2366 Ry per atom. Its space-group type is Imm2, No. 44.


VASP calculation (PBEsol) on a relaxed OsBrNO2 crystal.

Structure (extended XYZ):
```
5
Lattice="3.8364 0.0000 0.0000 0.0000 3.8364 0.0000 0.0000 0.0000 3.9589" Properties=species:S:1:pos:R:3 pbc="T T T"
Os 0.0000 0.0000 0.0000
Br 1.9182 1.9182 1.9794
N 0.0000 0.0000 1.9794
O 0.0000 1.9182 0.0000
O 1.9182 0.0000 0.0000
```

Its energy is -0.4754 Ry per atom. Its space-group type is P4/mmm, No. 123. Its uncorrected formation energy is 154 meV/atom.


VASP calculation (PBEsol) on a relaxed LaY3Sn crystal.

Structure (extended XYZ):
```
5
Lattice="5.4238 0.0000 0.0000 0.0000 5.4238 0.0000 0.0000 0.0000 5.4238" Properties=species:S:1:pos:R:3 pbc="T T T"
La 0.0000 0.0000 0.0000
Y 0.0000 0.0000 2.7119
Y 0.0000 2.7119 0.0000
Y 2.7119 0.0000 0.0000
Sn 2.7119 2.7119 2.7119
```

Its energy is -0.3924 Ry per atom. Its space-group type is Pm-3m, No. 221.


VASP calculation (PBEsol) on a relaxed LiLa2Zn crystal.

Structure (extended XYZ):
```
8
Lattice="4.8192 0.0000 0.0000 0.0000 3.4165 0.0000 0.0000 0.0000 12.3493" Properties=species:S:1:pos:R:3 pbc="T T T"
Li 0.0000 0.0000 0.0000
Li 0.0000 1.7083 6.1747
La 0.0000 0.0000 3.4692
La 0.0000 1.7083 9.6438
La 2.4096 0.0000 7.4780
La 2.4096 1.7083 1.3034
Zn 2.4096 0.0000 10.9204
Zn 2.4096 1.7083 4.7457
```

Its energy is -0.2654 Ry per atom. Its space-group type is Amm2, No. 38.


VASP calculation (PBEsol) on a relaxed CaMgSb3 crystal.

Structure (extended XYZ):
```
5
Lattice="5.5875 0.0000 0.0000 0.0000 5.5875 0.0000 0.0000 0.0000 5.5875" Properties=species:S:1:pos:R:3 pbc="T T T"
Ca 0.0000 0.0000 0.0000
Mg 2.7938 2.7938 2.7938
Sb 0.0000 0.0000 2.7938
Sb 0.0000 2.7938 0.0000
Sb 2.7938 0.0000 0.0000
```

Its energy is -0.2195 Ry per atom. Its space-group type is Pm-3m, No. 221. Its uncorrected formation energy is 518 meV/atom.


VASP calculation (PBEsol) on a relaxed CuTc2Br crystal.

Structure (extended XYZ):
```
8
Lattice="4.0878 0.0000 0.0000 0.0000 4.0878 0.0000 0.0000 0.0000 6.9218" Properties=species:S:1:pos:R:3 pbc="T T T"
Cu 0.0000 0.0000 0.0000
Cu 2.0439 2.0439 3.4609
Tc 0.0000 0.0000 3.4609
Tc 0.0000 2.0439 1.7304
Tc 2.0439 0.0000 5.1913
Tc 2.0439 2.0439 0.0000
Br 0.0000 2.0439 5.1913
Br 2.0439 0.0000 1.7304
```

Its energy is -0.4643 Ry per atom. As for the polymorph energy (0 for the lowest one): 233 meV per atom. Its space-group type is I-4m2, No. 119. Its uncorrected formation energy is 867 meV/atom.


VASP calculation (PBEsol) on a relaxed MnZnCr4S8 crystal.

Structure (extended XYZ):
```
14
Lattice="0.0000 4.9589 4.9589 4.9589 0.0000 4.9589 4.9589 4.9589 0.0000" Properties=species:S:1:pos:R:3 pbc="T T T"
Mn 0.0000 0.0000 0.0000
Zn 7.4383 7.4383 7.4383
Cr 3.7215 3.7215 3.7215
Cr 6.1962 6.1962 3.7215
Cr 6.1962 3.7215 6.1962
Cr 3.7215 6.1962 6.1962
S 1.3443 1.3443 1.3443
S 3.6146 3.6146 1.3443
S 3.6146 1.3443 3.6146
S 6.0977 3.8201 3.8201
S 1.3443 3.6146 3.6146
S 3.8201 6.0977 3.8201
S 3.8201 3.8201 6.0977
S 6.0977 6.0977 6.0977
```

Its energy is -0.5095 Ry per atom. Its space-group type is F-43m, No. 216. Its uncorrected formation energy is -690 meV/atom.


VASP calculation (PBEsol) on a relaxed AlTe2Br crystal.

Structure (extended XYZ):
```
8
Lattice="4.0537 0.0000 0.0000 0.0000 6.7349 0.0000 0.0000 0.0000 8.1653" Properties=species:S:1:pos:R:3 pbc="T T T"
Al 0.0000 0.0000 0.0000
Al 2.0269 3.3674 0.0000
Te 0.0000 3.3674 1.7418
Te 0.0000 3.3674 6.4235
Te 2.0269 0.0000 1.7418
Te 2.0269 0.0000 6.4235
Br 0.0000 0.0000 4.0826
Br 2.0269 3.3674 4.0826
```

Its energy is -0.2412 Ry per atom. Its space-group type is Cmmm, No. 65. Its uncorrected formation energy is -29 meV/atom.


VASP calculation (PBEsol) on a relaxed Cu2AsPt crystal.

Structure (extended XYZ):
```
8
Lattice="8.5762 0.0000 0.0000 0.0000 2.8767 0.0000 -0.7798 0.0000 4.4180" Properties=species:S:1:pos:R:3 pbc="T T T"
Cu 0.0000 0.0000 0.0000
Cu 1.9331 1.4383 0.9253
Cu 4.2881 1.4383 0.0000
Cu 6.2213 0.0000 0.9253
As -0.3439 1.4383 2.1299
As 3.9442 0.0000 2.1299
Pt 1.5866 0.0000 3.1809
Pt 5.8748 1.4383 3.1809
```

Its energy is -0.3844 Ry per atom. Its space-group type is Cm, No. 8.


VASP calculation (PBEsol) on a relaxed NbCuTe2 crystal.

Structure (extended XYZ):
```
8
Lattice="6.6872 0.0000 0.0000 0.0000 3.7659 0.0000 -2.1720 0.0000 6.8820" Properties=species:S:1:pos:R:3 pbc="T T T"
Nb 0.0999 0.9415 3.3998
Nb 4.4153 2.8244 3.4821
Cu 0.6607 0.9415 6.2488
Cu 3.8545 2.8244 0.6332
Te -0.3966 2.8244 1.4323
Te 1.7974 2.8244 4.8653
Te 2.7178 0.9415 2.0167
Te 4.9119 0.9415 5.4497
```

Its energy is -0.4332 Ry per atom. Its space-group type is P2_1/m, No. 11. Its uncorrected formation energy is -341 meV/atom.